Compound: Ti2Sn2Os
Source: the Alexandria database
Functional: PBE-GGA
Structure: relaxed

Cell lengths 6.8477, 6.8477, 4.0518 Å; angles 90.00, 90.00, 90.00 degrees
Element x y z (fractional)
Os 0.5000 0.5000 0.0000
Os 0.0000 0.0000 0.0000
Sn 0.8550 0.6450 0.0000
Sn 0.6450 0.1450 0.0000
Sn 0.1450 0.3550 0.0000
Sn 0.3550 0.8550 0.0000
Ti 0.1615 0.6615 0.5000
Ti 0.6615 0.8385 0.5000
Ti 0.3385 0.1615 0.5000
Ti 0.8385 0.3385 0.5000

Output
space-group type	No. 127
E_form	4.8	kJ/mol of atoms
total DFT energy (no corrections)	-6.955	eV/atom
excess energy over the best structure of this formula in the dataset	0	meV per atom